# GGA-PBE RbNi4Cl7, optimized geometry
data_RbNi4Cl7
_chemical_formula_sum 'Rb2 Ni8 Cl14'
_cell_length_a 15.4839
_cell_length_b 6.3251
_cell_length_c 6.0382
_cell_angle_alpha 90.00
_cell_angle_beta 90.00
_cell_angle_gamma 90.00
_space_group_name_H-M_alt 'P m n 21'
_space_group_IT_number 31
loop_
_space_group_symop_operation_xyz
'x,y,z'
'-x+1/2,-y,z+1/2'
'-x,y,z'
'x+1/2,-y,z+1/2'
loop_
_atom_site_label
_atom_site_type_symbol
_atom_site_fract_x
_atom_site_fract_y
_atom_site_fract_z
Rb1 Rb 0.0000 0.1751 0.0000
Ni1 Ni 0.1222 0.6678 0.5845
Ni2 Ni 0.2476 0.1874 0.5756
Cl1 Cl 0.0000 0.8300 0.4760
Cl2 Cl 0.1180 0.3228 0.5019
Cl3 Cl 0.1238 0.6982 0.9575
Cl4 Cl 0.2409 0.8421 0.4521
# Magnetization ... 12.0 Bohr magnetons per cell
# DOS at the Fermi energy ... 0.9072 states/eV per atom
# Formation energy (no corrections) ... -8.02 eV per formula unit